# KMnTe, relaxed, DFT PBE
# - Volume: 98.4 Å³/f.u.
# - Formation energy without anion corrections: -19.7 kJ per mole of atoms
data_KMnTe
_chemical_formula_sum 'K1 Mn1 Te1'
_symmetry_space_group_name_H-M 'P -6 m 2'
_symmetry_Int_Tables_number 187
_symmetry_space_group_name_Hall 'P -6 2'
_cell_length_a 4.6521
_cell_length_b 4.6521
_cell_length_c 5.2507
_cell_angle_alpha 90.00
_cell_angle_beta 90.00
_cell_angle_gamma 120.00
loop_
_atom_site_label
_atom_site_type_symbol
_atom_site_fract_x
_atom_site_fract_y
_atom_site_fract_z
_atom_site_occupancy
K1 K 0.0000 0.0000 0.0000 1
Mn1 Mn 0.6667 0.3333 0.5000 1
Te1 Te 0.3333 0.6667 0.5000 1